Entry 1:
A geometry-optimized Zr2BeW structure, computed with PBE-GGA.

Values from the calculation:
- E: -129.1 eV/cell
- Formation energy from the elements: 0.3748 eV per atom

Lattice parameters (Å, degrees): 6.5386 6.5386 6.5386 90.00 90.00 90.00
Space group F-43m (No. 216)
Unique sites:
1 Zr 0.0000 0.0000 0.0000
2 Zr 0.2500 0.2500 0.2500
3 Be 0.0000 0.0000 0.5000
4 W 0.2500 0.2500 0.7500

---

Entry 2:
A geometry-optimized Cd3Ag2Pt3 structure, computed with PBE-GGA.

Values from the calculation:
- E: -55.1 eV/cell
- Formation energy from the elements: -0.1220 eV per atom

Lattice parameters (Å, degrees): 9.4701 4.5735 7.3106 90.00 104.31 90.00
Space group C2/m (No. 12)
Unique sites:
1 Cd 0.0000 0.0000 0.0000
2 Cd 0.1517 0.0000 0.4496
3 Ag 0.1918 0.5000 0.8560
4 Pt 0.0000 0.5000 0.5000
5 Pt 0.1216 0.5000 0.2012

---

Entry 3:
A geometry-optimized Pr2TmZr structure, computed with PBE-GGA.

Values from the calculation:
- E: -66.0 eV/cell
- Polymorph energy (0 for the lowest one): 0.012 eV/atom
- Formation energy from the elements: 0.1428 eV per atom

Lattice parameters (Å, degrees): 3.5246 3.5246 34.3103 90.00 90.00 120.00
Space group R3m (No. 160, hexagonal axes)
Unique sites:
1 Pr 0.0000 0.0000 0.0000
2 Pr 0.0000 0.0000 0.1591
3 Tm 0.0000 0.0000 0.5806
4 Zr 0.0000 0.0000 0.4129

---

Entry 4:
A geometry-optimized La5Pr2Ho5 structure, computed with PBE-GGA.

Values from the calculation:
- E: -113.6 eV/cell
- Formation energy from the elements: 0.0255 eV per atom

Lattice parameters (Å, degrees): 15.5571 5.1442 11.5424 90.00 116.84 90.00
Space group C2/m (No. 12)
Unique sites:
1 La 0.0000 0.0000 0.0000
2 La 0.0820 0.0000 0.7520
3 La 0.2486 0.0000 0.2475
4 Pr 0.1653 0.0000 0.4993
5 Ho 0.0000 0.5000 0.5000
6 Ho 0.0832 0.5000 0.2500
7 Ho 0.1669 0.5000 0.0004

---

Entry 5:
A geometry-optimized InAgO3 structure, computed with PBE-GGA.

Values from the calculation:
- E: -91.6 eV/cell
- Formation energy without anion corrections: -0.488 eV per atom

Lattice parameters (Å, degrees): 3.4007 14.2147 5.5930 90.00 90.00 90.00
Space group Cmcm (No. 63)
Unique sites:
1 In 0.0000 0.1931 0.2500
2 Ag 0.0000 0.4421 0.2500
3 O 0.0000 0.0352 0.2500
4 O 0.0000 0.3230 0.0049

---

Entry 6:
A geometry-optimized Rb5InO4 structure, computed with PBE-GGA.

Values from the calculation:
- E: -79.2 eV/cell
- Formation energy without anion corrections: -1.219 eV per atom
- Polymorph energy (0 for the lowest one): 0.000 eV/atom

Lattice parameters (Å, degrees): 8.4024 8.9498 6.6791 90.00 90.00 90.00
Space group Pmmn (No. 59, origin choice 2)
Unique sites:
1 Rb 0.0114 0.0587 0.2394
2 Rb 0.2500 0.7500 0.3443
3 In 0.2500 0.2500 0.7087
4 O 0.0338 0.2500 0.8774
5 O 0.2500 0.0462 0.5389

---

Entry 7:
A geometry-optimized DyYPb2 structure, computed with PBE-GGA.

Values from the calculation:
- E: -59.9 eV/cell
- Formation energy from the elements: -0.3710 eV per atom

Lattice parameters (Å, degrees): 3.9132 3.9132 27.3023 90.00 90.00 120.00
Space group R-3m (No. 166, hexagonal axes)
Unique sites:
1 Dy 0.0000 0.0000 0.0000
2 Y 0.0000 0.0000 0.5000
3 Pb 0.0000 0.0000 0.2501

---

Entry 8:
A geometry-optimized NaLaTeAu structure, computed with PBE-GGA.

Values from the calculation:
- E: -64.3 eV/cell
- Formation energy without anion corrections: -0.851 eV per atom

Lattice parameters (Å, degrees): 7.5720 7.5720 7.5720 90.00 90.00 90.00
Space group F-43m (No. 216)
Unique sites:
1 Na 0.0000 0.0000 0.0000
2 La 0.0000 0.0000 0.5000
3 Te 0.2500 0.2500 0.2500
4 Au 0.2500 0.2500 0.7500

---

Entry 9:
A geometry-optimized Co3CuCl9 structure, computed with PBE-GGA.

Values from the calculation:
- E: -195.7 eV/cell
- Formation energy without anion corrections: -0.530 eV per atom

Lattice parameters (Å, degrees): 14.9020 10.5014 12.4766 90.00 123.60 90.00
Space group Cc (No. 9)
Unique sites:
1 Co 0.0000 0.0467 0.0000
2 Co 0.1162 0.3437 0.9581
3 Co 0.2246 0.1420 0.7888
4 Cu 0.3290 0.3867 0.6507
5 Cl 0.0520 0.1340 0.6179
6 Cl 0.1417 0.1807 0.0920
7 Cl 0.1672 0.4806 0.5765
8 Cl 0.2344 0.3182 0.9005
9 Cl 0.2714 0.0176 0.4119
10 Cl 0.3282 0.1851 0.7186
11 Cl 0.3618 0.3651 0.4910
12 Cl 0.4563 0.1437 0.2944
13 Cl 0.4714 0.4972 0.8126

---

Entry 10:
A geometry-optimized MgCo2Tc structure, computed with PBE-GGA.

Values from the calculation:
- E: -25.9 eV/cell
- Formation energy from the elements: 0.0715 eV per atom

Lattice parameters (Å, degrees): 2.7124 2.7124 7.1096 90.00 90.00 90.00
Space group P4/mmm (No. 123)
Unique sites:
1 Mg 0.0000 0.0000 0.0000
2 Co 0.5000 0.5000 0.2668
3 Tc 0.0000 0.0000 0.5000

---

Entry 11:
A geometry-optimized La2Dy3Zn2 structure, computed with PBE-GGA.

Values from the calculation:
- E: -54.3 eV/cell
- Polymorph energy (0 for the lowest one): 0.000 eV/atom
- Formation energy from the elements: -0.1380 eV per atom

Lattice parameters (Å, degrees): 3.6663 29.8871 3.6181 90.00 90.00 90.00
Space group Cmmm (No. 65)
Unique sites:
1 La 0.0000 0.2028 0.0000
2 Dy 0.0000 0.0824 0.0000
3 Dy 0.0000 0.5000 0.5000
4 Zn 0.0000 0.3640 0.5000

---

Entry 12:
A geometry-optimized B5C7 structure, computed with PBE-GGA.

Values from the calculation:
- E: -94.1 eV/cell
- Polymorph energy (0 for the lowest one): 0.062 eV/atom
- Formation energy from the elements: 0.3203 eV per atom

Lattice parameters (Å, degrees): 2.4599 2.5181 12.6299 90.00 90.00 90.00
Space group Pmm2 (No. 25)
Unique sites:
1 B 0.0000 0.0000 0.0000
2 B 0.0000 0.0000 0.3405
3 B 0.0000 0.5000 0.8981
4 B 0.5000 0.0000 0.1062
5 B 0.5000 0.0000 0.4489
6 C 0.0000 0.0000 0.6704
7 C 0.0000 0.5000 0.2570
8 C 0.0000 0.5000 0.5987
9 C 0.5000 0.0000 0.7431
10 C 0.5000 0.5000 0.1906
11 C 0.5000 0.5000 0.5288
12 C 0.5000 0.5000 0.8118